(1)
# LiAg2Pb

A crystal of LiAg2Pb relaxed with PBEsol (meta-GGA SCAN, Alexandria).

Cell and atoms, written as POSCAR:
```
LiAg2Pb
1.0
2.8956 -4.9945 0.0000
2.8956 4.9945 0.0000
-1.4543 0.0000 2.6569
Li Ag Pb
1 2 1
direct
0.0000 0.0000 0.0000
0.0000 0.5000 0.5000
0.5000 0.0000 0.5000
0.5000 0.5000 0.0000
```

- Electronic total energy: -141.1 eV per cell
- ρ: 9.29 g/cm³
- Space-group type: No. 12

(2)
# MnTlMo

A crystal of MnTlMo relaxed with PBEsol (meta-GGA SCAN, Alexandria).

Cell and atoms, written as POSCAR:
```
MnTlMo
1.0
0.0000 3.1203 3.1203
3.1203 0.0000 3.1203
3.1203 3.1203 0.0000
Mn Tl Mo
1 1 1
direct
0.0000 0.0000 0.0000
0.7500 0.7500 0.7500
0.5000 0.5000 0.5000
```

- Electronic total energy: -122.9 eV per cell
- ρ: 9.71 g/cm³
- Space-group type: No. 216